Entry 1:
DFT (PBE) results for an optimized crystal structure of HoPaPtRh.

a b c (Å): 4.9108 4.9108 4.9108
angles (deg): 60.00 60.00 60.00
Each line ends with the local moment (μB).
Element x y z (fractional)
Pa 0.5000 0.5000 0.5000  0.15
Rh 0.7500 0.7500 0.7500  -0.01
Ho 0.0000 0.0000 0.0000  0.02
Pt 0.2500 0.2500 0.2500  0.00

Values from the calculation:
V = 20.94 A^3/atom
Energy above the lowest structure with this stoichiometry = 0.82 eV/f.u.
Formation enthalpy at 0 K = -816 meV per atom
Space-group type = F-43m (216)

Entry 2:
DFT (PBE) results for an optimized crystal structure of Hg2PBr.

a b c (Å): 3.8915 3.8915 7.9975
angles (deg): 90.00 90.00 118.86
Each line ends with the local moment (μB).
Element x y z (fractional)
Br 0.5000 0.5000 0.7500  0.00
Hg 0.0000 0.0000 0.0300  0.01
Hg 0.0000 0.0000 0.4700  0.01
P 0.5000 0.5000 0.2500  0.12

Values from the calculation:
V = 26.52 A^3/atom
Energy above the lowest structure with this stoichiometry = 1.72 eV/f.u.
Space-group type = Cmmm (65)
E_form (uncorrected) = 0.237 eV per atom

Entry 3:
DFT (PBE) results for an optimized crystal structure of TaRe3As.

a b c (Å): 4.4878 4.4878 4.4878
angles (deg): 90.00 90.00 90.00
Element x y z (fractional)
Re 0.0000 0.5000 0.0000
Re 0.0000 0.0000 0.5000
Re 0.5000 0.0000 0.0000
As 0.0000 0.0000 0.0000
Ta 0.5000 0.5000 0.5000

Values from the calculation:
V = 18.08 A^3/atom
Energy above the lowest structure with this stoichiometry = 0.00 eV/f.u.
Formation enthalpy at 0 K = 1314 meV per atom
Space-group type = Pm-3m (221)